! PBE+U Na2CrGaO4, relaxed; values from VASP
! Total energy = -47.954 eV/cell
! D(E_F) = 0.0 states/eV per cell
! SG = P2/m, No. 10
! Magnetic moment = 3.0 μB/f.u.
! Volume = 10.7 A^3/atom
&SYSTEM
  ibrav = 0, nat = 8, ntyp = 4
/
ATOMIC_SPECIES
O 16.00 O.upf
Na 22.99 Na.upf
Ga 69.72 Ga.upf
Cr 52.00 Cr.upf
ATOMIC_POSITIONS crystal
O 0.000 0.267 0.802
Na 0.500 0.000 0.500
Na 0.000 0.500 0.500
Ga 0.000 0.000 0.000
Cr 0.500 0.500 0.000
O 0.500 0.768 0.802
O 0.000 0.733 0.198
O 0.500 0.232 0.198
CELL_PARAMETERS angstrom
-2.905 -0.258 -0.849
1.515 -2.253 -4.499
-0.757 -4.094 3.835